Entry 1:
## PIrRh2 (GGA-PBE)

Data for PIrRh2 after structural relaxation.

a b c (Å): 2.817 2.817 8.380
angles (deg): 90.00 90.00 119.66
Each line ends with the local moment (μB).
Element x y z (fractional)
Rh 0.000 0.000 0.032  0.01
Rh 0.500 0.500 0.750  0.10
Ir 0.000 0.000 0.470  0.01
P 0.500 0.500 0.248  0.00



Entry 2:
## PIr2Rh4 (GGA-PBE)

Data for PIr2Rh4 after structural relaxation.

a b c (Å): 4.471 4.471 6.818
angles (deg): 70.86 70.86 90.00
Element x y z (fractional)
Rh 0.818 0.818 0.364
Rh 0.182 0.182 0.636
Rh 0.500 0.000 0.000
Rh 0.000 0.500 0.000
Ir 0.616 0.616 0.768
Ir 0.384 0.384 0.232
P 0.000 0.000 0.000



Entry 3:
## P2IrRh (GGA-PBE)

Data for P2IrRh after structural relaxation.

a b c (Å): 2.895 2.895 7.716
angles (deg): 90.00 90.00 90.00
Element x y z (fractional)
Rh 0.000 0.000 0.482
P 0.000 0.000 0.931
P 0.500 0.500 0.321
Ir 0.500 0.500 0.765



Entry 4:
## PIrRh2 (GGA-PBE)

Data for PIrRh2 after structural relaxation.

a b c (Å): 2.788 2.788 8.468
angles (deg): 90.00 90.00 119.75
Element x y z (fractional)
Rh 0.000 0.000 0.218
Rh 0.000 0.000 0.782
Ir 0.500 0.500 0.500
P 0.500 0.500 0.000



Entry 5:
## PIrRh2 (GGA-PBE)

Data for PIrRh2 after structural relaxation.

a b c (Å): 3.766 3.766 3.883
angles (deg): 90.00 90.00 90.00
Element x y z (fractional)
Ir 0.500 0.500 0.500
Rh 0.000 0.500 0.000
Rh 0.500 0.000 0.000
P 0.000 0.000 0.500



Entry 6:
## P2IrRh (GGA-PBE)

Data for P2IrRh after structural relaxation.

a b c (Å): 3.963 4.737 3.961
angles (deg): 65.87 88.71 114.14
Element x y z (fractional)
Rh 0.000 0.500 0.500
P 0.500 0.000 0.500
P 0.000 0.000 0.000
Ir 0.500 0.500 0.000



Entry 7:
## P2IrRh (GGA-PBE)

Data for P2IrRh after structural relaxation.

a b c (Å): 4.206 4.206 5.266
angles (deg): 89.97 89.97 40.32
Element x y z (fractional)
Ir 0.308 0.308 0.209
P 0.718 0.718 0.540
P 0.032 0.032 0.041
Rh 0.442 0.442 0.710



Entry 8:
## P2IrRh (GGA-PBE)

Data for P2IrRh after structural relaxation.

a b c (Å): 5.271 5.271 5.271
angles (deg): 147.83 132.34 58.67
Element x y z (fractional)
Ir 0.226 0.726 0.500
Rh 0.522 0.522 0.000
P 0.738 0.238 0.500
P 0.014 0.014 0.000



Entry 9:
## PIr2Rh (GGA-PBE)

Data for PIr2Rh after structural relaxation.

a b c (Å): 4.334 4.334 4.334
angles (deg): 60.00 60.00 60.00
Element x y z (fractional)
Ir 0.250 0.250 0.250
Ir 0.000 0.000 0.000
Rh 0.750 0.750 0.750
P 0.500 0.500 0.500



Entry 10:
## P2IrRh (GGA-PBE)

Data for P2IrRh after structural relaxation.

a b c (Å): 3.368 3.371 4.900
angles (deg): 90.00 90.00 90.00
Element x y z (fractional)
P 0.500 0.500 0.309
P 0.000 0.000 0.942
Rh 0.000 0.000 0.442
Ir 0.500 0.500 0.807



Entry 11:
## PIr2Rh (GGA-PBE)

Data for PIr2Rh after structural relaxation.

a b c (Å): 2.800 2.800 8.583
angles (deg): 90.00 90.00 120.59
Element x y z (fractional)
Ir 0.000 0.000 0.724
Ir 0.000 0.000 0.276
P 0.500 0.500 0.500
Rh 0.500 0.500 0.000



Entry 12:
## PIrRh (GGA-PBE)

Data for PIrRh after structural relaxation.

a b c (Å): 5.380 5.380 2.869
angles (deg): 74.54 74.54 30.92
Element x y z (fractional)
Ir 0.974 0.974 0.026
P 0.334 0.334 0.666
Rh 0.692 0.692 0.308



Here are the calculated total energy numbers, same order: -7.075, -6.837, -6.932, -7.132, -7.290, -6.759, -7.217, -6.785, -7.269, -7.143, -7.349, -7.362 (eV/atom).
Here are the calculated volume numbers, same order: 14.4, 17.3, 16.2, 14.3, 13.8, 15.1, 15.1, 14.3, 14.4, 13.9, 14.5, 13.7 (Å³ per atom).
Here are the calculated DFT formation energy numbers, same order: 0.168, 0.668, -0.174, 0.111, -0.047, -0.001, -0.459, -0.027, 0.352, -0.385, 0.271, -0.154 (eV per atom).